(1)
Below is a geometry-optimized SrMg2Ni structure, with properties calculated at the PBE-GGA level.

For the calculated density, the calculation gives 3.4 g/cm3. The uncorrected energy comes out at -2.27 eV per atom.

It has space group Cmmm (No. 65), with a = 5.852 Å, b = 10.207 Å, c = 3.227 Å, α = 90.00°, β = 90.00° and γ = 90.00°. The distinct sites, in fractional coordinates, are Sr at (0.000, 0.000, 0.000), Mg at (0.250, 0.250, 0.500) and Ni at (0.000, 0.500, 0.000).

(2)
Below is a geometry-optimized AsPd structure, with properties calculated at the PBE-GGA level.

For the calculated density, the calculation gives 6.7 g/cm3. The uncorrected energy comes out at -4.96 eV per atom.

It has space group F-43m (No. 216), with a = 5.634 Å, b = 5.634 Å, c = 5.634 Å, α = 90.00°, β = 90.00° and γ = 90.00°. The distinct sites, in fractional coordinates, are As at (0.000, 0.000, 0.000) and Pd at (0.250, 0.250, 0.750).